# 1
The following is a DFT calculation (PBE) of a relaxed structure of TaAlHg2.

Cell and atoms, written as extended XYZ:
```
4
Lattice="-2.018 2.018 4.731 2.018 -2.018 4.731 2.018 2.018 -4.731" Properties=species:S:1:pos:R:3 pbc="T T T"
Ta 0.000 0.000 0.000
Al 0.000 0.000 4.731
Hg 2.018 0.000 2.366
Hg 0.000 2.018 2.366
```

Output
**Calculated formation energy**: 8.56 kcal/mol of atoms
**Symmetry**: No. 139

# 2
The following is a DFT calculation (PBE) of a relaxed structure of PmMgZn2.

Cell and atoms, written as extended XYZ:
```
4
Lattice="3.473 0.000 0.000 0.000 3.473 0.000 0.000 0.000 7.033" Properties=species:S:1:pos:R:3 pbc="T T T"
Pm 0.000 0.000 0.000
Mg 0.000 0.000 3.516
Zn 1.737 1.737 2.003
Zn 1.737 1.737 5.030
```

Output
**Calculated formation energy**: -4.72 kcal/mol of atoms
**Symmetry**: No. 123
**Energy above the lowest structure with this stoichiometry**: 136 meV per atom

# 3
The following is a DFT calculation (PBE) of a relaxed structure of K2CdInBr5.

Cell and atoms, written as extended XYZ:
```
18
Lattice="2.191 -9.225 0.000 2.191 9.225 0.000 0.000 0.000 16.888" Properties=species:S:1:pos:R:3 pbc="T T T"
K 2.191 8.195 8.444
K 2.191 6.314 1.784
K 2.191 -6.314 10.228
K 2.191 -8.195 0.000
Cd 2.191 4.500 14.856
Cd 2.191 -4.500 6.412
In 2.191 1.067 4.726
In 2.191 -1.067 13.169
Br 2.191 7.224 15.300
Br 2.191 4.886 8.448
Br 2.191 4.397 4.553
Br 2.191 1.818 14.569
Br 2.191 0.484 10.314
Br 2.191 -0.484 1.870
Br 2.191 -1.818 6.125
Br 2.191 -4.397 12.997
Br 2.191 -4.886 0.004
Br 2.191 -7.224 6.857
```

Output
**Calculated total energy**: -49.6 eV/cell
**Symmetry**: No. 36

# 4
The following is a DFT calculation (PBE) of a relaxed structure of CaYIrPt.

Cell and atoms, written as extended XYZ:
```
4
Lattice="0.000 3.455 3.455 3.455 0.000 3.455 3.455 3.455 0.000" Properties=species:S:1:pos:R:3 pbc="T T T"
Ca 0.000 0.000 0.000
Y 3.455 3.455 3.455
Ir 5.183 5.183 5.183
Pt 1.728 1.728 1.728
```

Output
**Calculated formation energy**: -17.57 kcal/mol of atoms
**Symmetry**: No. 216

# 5
The following is a DFT calculation (PBE) of a relaxed structure of GdHI.

Cell and atoms, written as extended XYZ:
```
3
Lattice="3.921 0.000 0.000 -1.960 3.395 0.000 0.000 0.000 4.940" Properties=species:S:1:pos:R:3 pbc="T T T"
Gd 0.000 0.000 0.000
H 1.960 1.132 0.000
I 0.000 2.264 2.470
```

Output
**Calculated total energy**: -21.4 eV/cell
**Symmetry**: No. 187

# 6
The following is a DFT calculation (PBE) of a relaxed structure of Ho4ErTm5.

Cell and atoms, written as extended XYZ:
```
10
Lattice="6.179 0.000 0.000 3.089 5.831 0.000 0.005 3.096 8.503" Properties=species:S:1:pos:R:3 pbc="T T T"
Ho 0.000 0.000 0.000
Ho 1.031 2.097 2.557
Ho 3.093 3.637 6.796
Ho 4.121 2.640 0.850
Er 6.183 4.192 5.103
Tm 3.090 4.736 3.404
Tm 4.123 6.829 5.947
Tm 6.176 5.283 1.706
Tm 7.212 7.377 4.250
Tm 7.218 6.287 7.650
```

Output
**Calculated formation energy**: -0.05 kcal/mol of atoms
**Symmetry**: No. 1
**Energy above the lowest structure with this stoichiometry**: 0 meV per atom

# 7
The following is a DFT calculation (PBE) of a relaxed structure of Tl2CdPIr.

Cell and atoms, written as extended XYZ:
```
5
Lattice="5.258 0.000 0.000 0.000 5.258 0.000 0.000 0.000 5.251" Properties=species:S:1:pos:R:3 pbc="T T T"
Tl 0.000 2.629 0.000
Tl 2.629 0.000 0.000
Cd 0.000 0.000 2.626
P 2.629 2.629 2.626
Ir 0.000 0.000 0.000
```

Output
**Calculated formation energy**: 14.17 kcal/mol of atoms
**Symmetry**: No. 123

# 8
The following is a DFT calculation (PBE) of a relaxed structure of Sm2GeH.

Cell and atoms, written as extended XYZ:
```
4
Lattice="2.193 1.266 7.329 -2.193 1.266 7.329 0.000 -2.533 7.329" Properties=species:S:1:pos:R:3 pbc="T T T"
Sm 0.000 0.000 2.191
Sm 0.000 0.000 19.796
Ge 0.000 0.000 10.994
H 0.000 0.000 0.000
```

Output
**Symmetry**: No. 166
**Energy above the lowest structure with this stoichiometry**: 313 meV per atom

# 9
The following is a DFT calculation (PBE) of a relaxed structure of NpMn3C2.

Cell and atoms, written as extended XYZ:
```
12
Lattice="5.765 -1.570 0.000 5.765 1.570 0.000 -2.655 0.000 7.193" Properties=species:S:1:pos:R:3 pbc="T T T"
Np 1.204 0.000 0.145
Np 7.672 0.000 7.048
Mn -0.373 0.000 2.903
Mn 1.634 0.000 4.425
Mn 3.503 0.000 2.211
Mn 5.373 0.000 4.983
Mn 7.241 0.000 2.768
Mn 9.249 0.000 4.290
C 0.431 0.000 5.898
C 3.407 0.000 5.497
C 5.468 0.000 1.696
C 8.445 0.000 1.296
```

Output
**Calculated formation energy**: -1.16 kcal/mol of atoms
**Symmetry**: No. 12

# 10
The following is a DFT calculation (PBE) of a relaxed structure of GdH2Pt.

Cell and atoms, written as extended XYZ:
```
4
Lattice="1.991 1.149 3.651 -1.991 1.149 3.651 0.000 -2.299 3.651" Properties=species:S:1:pos:R:3 pbc="T T T"
Gd 0.000 0.000 0.000
H 0.000 0.000 2.525
H 0.000 0.000 8.429
Pt 0.000 0.000 5.477
```

Output
**Calculated total energy**: -28.3 eV/cell
**Symmetry**: No. 166

# 11
The following is a DFT calculation (PBE) of a relaxed structure of Nd5In12Sn3.

Cell and atoms, written as extended XYZ:
```
80
Lattice="-9.025 9.025 9.025 9.025 -9.025 9.025 9.025 9.025 -9.025" Properties=species:S:1:pos:R:3 pbc="T T T"
Nd 0.000 0.000 0.000
Nd 4.513 4.513 -4.513
Nd 4.513 -4.513 4.513
Nd 9.025 0.000 0.000
Nd 13.538 2.256 0.000
Nd 9.025 -4.513 6.769
Nd 6.769 9.025 -4.513
Nd 6.769 0.000 4.513
Nd 4.513 6.769 0.000
Nd 9.025 4.513 2.256
Nd -4.513 4.513 4.513
Nd 0.000 9.025 0.000
Nd 0.000 0.000 9.025
Nd 4.513 4.513 4.513
Nd 0.000 4.513 6.769
Nd 4.513 2.256 9.025
Nd 2.256 9.025 4.513
Nd 2.256 0.000 13.538
Nd 0.000 13.538 2.256
Nd -4.513 6.769 9.025
In 8.936 -1.542 2.713
In 13.626 -1.800 2.970
In 2.713 -0.089 1.542
In 10.825 6.055 -4.601
In 11.738 0.089 1.542
In 10.825 -2.970 4.601
In 1.542 2.713 -0.089
In 11.995 4.424 -1.800
In 6.055 4.601 -1.800
In 7.483 2.713 0.089
In -0.089 1.542 2.713
In 4.601 -1.800 6.055
In 8.936 7.483 -2.713
In 4.601 1.800 2.970
In 7.483 -2.713 8.936
In 6.055 -4.601 10.825
In 2.970 4.601 1.800
In 10.567 6.312 0.089
In 2.713 8.936 -1.542
In 10.825 2.970 4.424
In 1.800 2.970 4.601
In 2.713 0.089 7.483
In 4.601 10.825 -2.970
In 8.936 1.542 6.312
In 0.089 7.483 2.713
In 4.424 -1.800 11.995
In 6.312 8.936 1.542
In 7.225 6.055 4.424
In -1.800 6.055 4.601
In 6.312 0.089 10.567
In -1.542 2.713 8.936
In 6.055 4.424 7.225
In 2.970 13.626 -1.800
In 1.542 11.738 0.089
In 4.424 7.225 6.055
In 0.089 1.542 11.738
In 4.424 10.825 2.970
In 9.114 7.483 6.312
In 1.542 6.312 8.936
In 2.970 4.424 10.825
In -2.970 4.601 10.825
In 7.483 6.312 9.114
In -1.800 11.995 4.424
In -2.713 8.936 7.483
In -1.800 2.970 13.626
In 6.312 9.114 7.483
In -4.601 10.825 6.055
In 0.089 10.567 6.312
Sn 4.513 2.256 0.000
Sn 9.025 4.513 -2.256
Sn 2.256 0.000 4.513
Sn 11.281 0.000 4.513
Sn 0.000 4.513 2.256
Sn 4.513 -2.256 9.025
Sn 4.513 11.281 0.000
Sn 9.025 4.513 6.769
Sn -2.256 9.025 4.513
Sn 6.769 9.025 4.513
Sn 0.000 4.513 11.281
Sn 4.513 6.769 9.025
```

Output
**Calculated formation energy**: 4.19 kcal/mol of atoms
**Symmetry**: No. 230

# 12
The following is a DFT calculation (PBE) of a relaxed structure of CuTcOF2.

Cell and atoms, written as extended XYZ:
```
5
Lattice="4.199 0.000 0.000 0.000 4.199 0.000 0.000 0.000 3.759" Properties=species:S:1:pos:R:3 pbc="T T T"
Cu 0.000 0.000 0.000
Tc 2.100 2.100 1.880
O 2.100 2.100 0.000
F 0.000 2.100 1.880
F 2.100 0.000 1.880
```

Output
**Symmetry**: No. 123
**Energy above the lowest structure with this stoichiometry**: 0 meV per atom